# 1
Here is an optimized crystal structure of DyY2Co2B2O3 from OQMD via LeMat-Bulk. Energies are from PBE with a Hubbard U.

Output
Its density is 7.0 g/cm3. The calculation puts the total energy at -72.443 eV/f.u.

CIF file:
```
data_DyY2Co2B2O3
_chemical_formula_sum 'Dy2 Y4 Co4 B4 O6'
_space_group_name_H-M_alt 'I 4/m m m'
_space_group_IT_number 139
_space_group_name_Hall '-I 4 2'
_cell_length_a 3.4082
_cell_length_b 3.4082
_cell_length_c 21.4429
_cell_angle_alpha 90.00
_cell_angle_beta 90.00
_cell_angle_gamma 90.00
loop_
_atom_site_label
_atom_site_fract_x
_atom_site_fract_y
_atom_site_fract_z
_atom_site_occupancy
Dy1 0.0000 0.0000 0.0000 1
Y1 0.0000 0.0000 0.3628 1
Co1 0.0000 0.5000 0.2500 1
B1 0.0000 0.0000 0.2101 1
O1 0.0000 0.0000 0.1026 1
O2 0.0000 0.0000 0.5000 1
```


# 2
Here is an optimized crystal structure of DyYCo2B2O2 from OQMD via LeMat-Bulk. Energies are from PBE with a Hubbard U.

Output
Its density is 7.9 g/cm3. The calculation puts the total energy at -55.187 eV/f.u.

CIF file:
```
data_DyYCo2B2O2
_chemical_formula_sum 'Dy1 Y1 Co2 B2 O2'
_space_group_name_H-M_alt 'P 4 m m'
_space_group_IT_number 99
_cell_length_a 3.4890
_cell_length_b 3.4890
_cell_length_c 7.3357
_cell_angle_alpha 90.00
_cell_angle_beta 90.00
_cell_angle_gamma 90.00
loop_
_space_group_symop_operation_xyz
'x,y,z'
'-y,x,z'
'-x,-y,z'
'y,-x,z'
'-x,y,z'
'y,x,z'
'x,-y,z'
'-y,-x,z'
loop_
_atom_site_label
_atom_site_fract_x
_atom_site_fract_y
_atom_site_fract_z
_atom_site_occupancy
Dy1 0.0000 0.0000 0.0000 1
Y1 0.5000 0.5000 0.3847 1
Co1 0.0000 0.5000 0.6932 1
B1 0.0000 0.0000 0.5563 1
B2 0.5000 0.5000 0.8303 1
O1 0.0000 0.0000 0.3281 1
O2 0.5000 0.5000 0.0566 1
```